Entry 1:
Ba4Na3Sr (PBE, optimized geometry); polymorph energy (0 for the lowest one) = 0.0115 eV per atom; symmetry = Pmm2; energy of formation = 0.03 eV/atom; E = -1.632 eV per atom; size of the total moment = 0.0 μB/cell
1.0
4.401 0.000 0.000
0.000 6.315 0.000
0.000 0.000 15.771
Ba Na Sr
4 3 1
Direct
0.000 0.000 0.000
0.000 0.500 0.319
0.500 0.000 0.480
0.500 0.500 0.842
0.000 0.500 0.585
0.500 0.000 0.224
0.500 0.500 0.099
0.000 0.000 0.724


Entry 2:
VCo3H (PBE, optimized geometry); polymorph energy (0 for the lowest one) = 0.0207 eV per atom; symmetry = Cmcm; E = -6.886 eV per atom; size of the total moment = 3.4 μB/cell
1.0
2.519 -3.632 0.000
2.519 3.632 0.000
0.000 0.000 5.041
V Co H
2 6 2
Direct
0.239 0.761 0.750
0.761 0.239 0.250
0.243 0.757 0.250
0.245 0.245 0.000
0.245 0.245 0.500
0.755 0.755 0.000
0.755 0.755 0.500
0.757 0.243 0.750
0.485 0.515 0.250
0.515 0.485 0.750


Entry 3:
TeP (PBE, optimized geometry); symmetry = P6_3/mmc; E = -3.632 eV per atom; size of the total moment = 0.0 μB/cell
1.0
5.260 0.000 0.000
-2.630 4.556 0.000
0.000 0.000 10.441
Te P
4 4
Direct
0.000 0.000 0.250
0.000 0.000 0.750
0.333 0.667 0.250
0.667 0.333 0.750
0.333 0.667 0.651
0.333 0.667 0.849
0.667 0.333 0.151
0.667 0.333 0.349


Entry 4:
Tb3Er2Co2 (PBE, optimized geometry); symmetry = C2/m; energy of formation = -0.16 eV/atom; E = -5.481 eV per atom; size of the total moment = 0.0 μB/cell
1.0
5.943 -1.837 0.000
5.943 1.837 0.000
-3.848 0.000 7.902
Tb Er Co
3 2 2
Direct
0.000 0.000 0.000
0.117 0.117 0.427
0.883 0.883 0.573
0.327 0.327 0.194
0.673 0.673 0.806
0.320 0.320 0.759
0.680 0.680 0.241


Entry 5:
TlCo2Tc (PBE, optimized geometry); polymorph energy (0 for the lowest one) = 0.4369 eV per atom; symmetry = I-42d; energy of formation = 0.85 eV/atom; E = -5.888 eV per atom; size of the total moment = 4.0 μB/cell
1.0
-3.428 3.428 2.754
3.428 -3.428 2.754
3.428 3.428 -2.754
Tl Co Tc
2 4 2
Direct
0.000 0.000 0.000
0.750 0.250 0.500
0.170 0.625 0.045
0.375 0.420 0.545
0.580 0.125 0.955
0.875 0.830 0.455
0.250 0.750 0.500
0.500 0.500 0.000


Entry 6:
V2CdMoRu (PBE, optimized geometry); symmetry = P4/mmm; energy of formation = 1.57 eV/atom; E = -6.282 eV per atom; size of the total moment = 0.5 μB/cell
1.0
4.407 0.000 0.000
0.000 4.407 0.000
0.000 0.000 5.139
V Cd Mo Ru
2 1 1 1
Direct
0.000 0.500 0.000
0.500 0.000 0.000
0.000 0.000 0.500
0.000 0.000 0.000
0.500 0.500 0.500